The following is a DFT calculation (GGA-PBE) of crystalline NdDy2Ho3 at its relaxed geometry.

It has space group C2/c (No. 15), with a = 17.428 Å, b = 7.112 Å, c = 6.150 Å, α = 90.00°, β = 90.16° and γ = 90.00°. The distinct sites, in fractional coordinates, are Nd at (0.000, 0.125, 0.250), Dy at (0.167, 0.375, 0.417), Ho at (0.000, 0.376, 0.750) and Ho at (0.168, 0.125, 0.916).

The density of states at the Fermi level comes out at 8.325 states/eV/f.u. The energy above the most stable polymorph in this dataset comes out at 0 meV per atom.

---

The following is a DFT calculation (GGA-PBE) of crystalline Nd7DyHo3 at its relaxed geometry.

It has space group C2/c (No. 15), with a = 19.281 Å, b = 7.205 Å, c = 12.609 Å, α = 90.00°, β = 116.27° and γ = 90.00°. The distinct sites, in fractional coordinates, are Nd at (0.000, 0.216, 0.250), Nd at (0.159, 0.495, 0.774), Nd at (0.167, 0.247, 0.026), Nd at (0.168, 0.248, 0.529), Dy at (0.000, 0.000, 0.000), Ho at (0.000, 0.500, 0.000) and Ho at (0.170, 0.003, 0.274).

The density of states at the Fermi level comes out at 16.759 states/eV/f.u. The energy above the most stable polymorph in this dataset comes out at 0 meV per atom.

---

The following is a DFT calculation (GGA-PBE) of crystalline NdDy12Ho7 at its relaxed geometry.

It has space group Im-3m (No. 229), with a = 11.261 Å, b = 11.261 Å, c = 11.261 Å, α = 90.00°, β = 90.00° and γ = 90.00°. The distinct sites, in fractional coordinates, are Nd at (0.000, 0.000, 0.000), Dy at (0.000, 0.255, 0.255), Ho at (0.000, 0.000, 0.500) and Ho at (0.250, 0.250, 0.250).

The density of states at the Fermi level comes out at 24.055 states/eV/f.u. The energy above the most stable polymorph in this dataset comes out at 406 meV per atom.

---

The following is a DFT calculation (GGA-PBE) of crystalline Nd4DyHo at its relaxed geometry.

It has space group C2/m (No. 12), with a = 11.482 Å, b = 5.122 Å, c = 7.289 Å, α = 90.00°, β = 108.68° and γ = 90.00°. The distinct sites, in fractional coordinates, are Nd at (0.166, 0.000, 0.333), Nd at (0.166, 0.000, 0.833), Dy at (0.000, 0.500, 0.000) and Ho at (0.000, 0.500, 0.500).

The density of states at the Fermi level comes out at 7.879 states/eV/f.u. The energy above the most stable polymorph in this dataset comes out at 0 meV per atom.

---

Please write out number 2 again, unchanged.
The following is a DFT calculation (GGA-PBE) of crystalline Nd7DyHo3 at its relaxed geometry.

It has space group C2/c (No. 15), with a = 19.281 Å, b = 7.205 Å, c = 12.609 Å, α = 90.00°, β = 116.27° and γ = 90.00°. The distinct sites, in fractional coordinates, are Nd at (0.000, 0.216, 0.250), Nd at (0.159, 0.495, 0.774), Nd at (0.167, 0.247, 0.026), Nd at (0.168, 0.248, 0.529), Dy at (0.000, 0.000, 0.000), Ho at (0.000, 0.500, 0.000) and Ho at (0.170, 0.003, 0.274).

The density of states at the Fermi level comes out at 16.759 states/eV/f.u. The energy above the most stable polymorph in this dataset comes out at 0 meV per atom.